VASP calculation (PBE) on a relaxed LaTl2Si2 crystal. Values from VASP.

Calculated values
The calculation puts the energy above the most stable polymorph in this dataset at 0.25 eV/f.u. As for the magnetic moment: 0.00 μB/f.u. The raw formation energy comes out at -0.01 eV per atom. The value obtained for the electronic total energy is -4.1082 eV per atom. The value obtained for the volume is 253.4 Å³/cell. As for the space group: P4/mbm, No. 127.

The structure in Quantum ESPRESSO input format:
```
&SYSTEM
  ibrav = 0, nat = 10, ntyp = 3
/
ATOMIC_SPECIES
Tl 204.38 Tl.upf
Si 28.09 Si.upf
La 138.91 La.upf
ATOMIC_POSITIONS angstrom
Tl 1.3461 5.2248 2.1058
Tl 5.2248 6.4114 2.1058
Tl 6.4114 2.5326 2.1058
Tl 2.5326 1.3461 2.1058
Si 3.0471 6.9258 0.0000
Si 6.9258 4.7104 0.0000
Si 4.7104 0.8316 0.0000
Si 0.8316 3.0471 0.0000
La 0.0000 0.0000 0.0000
La 3.8787 3.8787 0.0000
CELL_PARAMETERS angstrom
7.7575 0.0000 0.0000
0.0000 7.7575 0.0000
0.0000 0.0000 4.2116
```